This record from the Alexandria database describes a geometry-optimized PmNiBiIr structure. The functional is PBE-GGA.

## Properties
DOS(E_F) (states/eV per atom): 0.74
ΔE_f (meV/atom): -192.1
Total magnetic moment (μB per formula unit): 0.0
Raw total energy (eV/f.u.): -24.04

abc: 4.8584 4.8584 4.8584
angles: 60.00 60.00 60.00
Last column: nearest neighbours and their distance in Å.
Fractional coordinates of all 4 atoms:
Pm1 0.0000 0.0000 0.0000  4 Ni 2.98, 4 Ir 2.98
Ni1 0.2500 0.2500 0.2500  4 Bi 2.98, 4 Pm 2.98
Bi1 0.5000 0.5000 0.5000  4 Ni 2.98, 4 Ir 2.98
Ir1 0.7500 0.7500 0.7500  4 Bi 2.98, 4 Pm 2.98


This record from the Alexandria database describes a geometry-optimized Dy2InS structure. The functional is PBE-GGA.

## Properties
DOS(E_F) (states/eV per atom): 0.30
Energy relative to the elements, uncorrected (eV per formula unit): -4.861
Total magnetic moment (μB per formula unit): 0.0
Raw total energy (eV/f.u.): -20.93

abc: 8.2715 8.2715 8.2715
angles: 26.62 26.62 26.62
Last column: nearest neighbours and their distance in Å.
Fractional coordinates of all 4 atoms:
Dy1 0.2345 0.2345 0.2345  3 S 2.73
Dy2 0.7655 0.7655 0.7655  3 S 2.73
In1 0.0000 0.0000 0.0000  6 Dy 3.23
S1 0.5000 0.5000 0.5000  6 Dy 2.73


This record from the Alexandria database describes a geometry-optimized PrFe4Si4 structure. The functional is PBE-GGA.

## Properties
DOS(E_F) (states/eV per atom): 0.35
Energy relative to the elements, uncorrected (eV per formula unit): -4.351
Total magnetic moment (μB per formula unit): 0.0
Raw total energy (eV/f.u.): -64.67

abc: 5.9736 5.9736 5.9736
angles: 96.66 96.66 140.18
Last column: nearest neighbours and their distance in Å.
Fractional coordinates of all 9 atoms:
Pr1 0.0000 0.0000 0.0000  12 Si 3.16-3.31, 4 Fe 3.33
Fe1 0.1145 0.5974 0.7119  4 Si 2.25-2.28, 1 Fe 2.39
Fe2 0.4026 0.1145 0.5172  4 Si 2.25-2.28, 1 Fe 2.39
Fe3 0.5974 0.8855 0.4828  4 Si 2.25-2.28, 1 Fe 2.39
Fe4 0.8855 0.4026 0.2881  4 Si 2.25-2.28, 1 Fe 2.39
Si1 0.2162 0.3332 0.5494  4 Fe 2.25-2.28, 2 Si 2.48
Si2 0.3332 0.7838 0.1170  4 Fe 2.25-2.28, 2 Si 2.48
Si3 0.6668 0.2162 0.8830  4 Fe 2.25-2.28, 2 Si 2.48
Si4 0.7838 0.6668 0.4506  4 Fe 2.25-2.28, 2 Si 2.48


This record from the Alexandria database describes a geometry-optimized ThZn6 structure. The functional is PBE-GGA.

## Properties
DOS(E_F) (states/eV per atom): 0.36
ΔE_f (meV/atom): -168.6
Total magnetic moment (μB per formula unit): 0.0
Raw total energy (eV/f.u.): -16.24

abc: 8.9110 5.1599 10.6788
angles: 90.00 90.00 90.00
Last column: nearest neighbours and their distance in Å.
Fractional coordinates of all 28 atoms:
Th1 0.2374 0.2500 0.0581  12 Zn 3.03-3.35
Th2 0.2626 0.7500 0.5581  12 Zn 3.03-3.35
Th3 0.7374 0.2500 0.4419  12 Zn 3.03-3.35
Th4 0.7626 0.7500 0.9419  12 Zn 3.03-3.35
Zn1 0.0498 0.7500 0.0933  5 Zn 2.67-2.83
Zn2 0.0730 0.0107 0.3087  6 Zn 2.47-2.69
Zn3 0.0730 0.4893 0.3087  6 Zn 2.47-2.69
Zn4 0.0768 0.2500 0.5237  5 Zn 2.61-2.62
Zn5 0.1332 0.7500 0.8531  7 Zn 2.67-2.93
Zn6 0.1932 0.2500 0.7486  9 Zn 2.56-2.86
Zn7 0.3068 0.7500 0.2486  9 Zn 2.56-2.86
Zn8 0.3668 0.2500 0.3531  7 Zn 2.67-2.93
Zn9 0.4232 0.7500 0.0237  5 Zn 2.61-2.62
Zn10 0.4270 0.5107 0.8087  6 Zn 2.47-2.69
Zn11 0.4270 0.9893 0.8087  6 Zn 2.47-2.69
Zn12 0.4502 0.2500 0.5933  5 Zn 2.67-2.83
Zn13 0.5498 0.7500 0.4067  5 Zn 2.67-2.83
Zn14 0.5730 0.0107 0.1913  6 Zn 2.47-2.69
Zn15 0.5730 0.4893 0.1913  6 Zn 2.47-2.69
Zn16 0.5768 0.2500 0.9763  5 Zn 2.61-2.62
Zn17 0.6332 0.7500 0.6469  7 Zn 2.67-2.93
Zn18 0.6932 0.2500 0.7514  9 Zn 2.56-2.86
Zn19 0.8068 0.7500 0.2514  9 Zn 2.56-2.86
Zn20 0.8668 0.2500 0.1469  7 Zn 2.67-2.93
Zn21 0.9232 0.7500 0.4763  5 Zn 2.61-2.62
Zn22 0.9270 0.5107 0.6913  6 Zn 2.47-2.69
Zn23 0.9270 0.9893 0.6913  6 Zn 2.47-2.69
Zn24 0.9502 0.2500 0.9067  5 Zn 2.67-2.83


This record from the Alexandria database describes a geometry-optimized Mg8SnPd2 structure. The functional is PBE-GGA.

## Properties
DOS(E_F) (states/eV per atom): 0.28
ΔE_f (meV/atom): -322.0
Total magnetic moment (μB per formula unit): 0.0
Raw total energy (eV/f.u.): -30.69

abc: 4.6500 6.7884 8.2293
angles: 114.29 106.18 90.01
Last column: nearest neighbours and their distance in Å.
Fractional coordinates of all 11 atoms:
Mg1 0.0000 0.0000 0.0000  3 Pd 2.76-2.79, 6 Mg 2.95-3.09
Mg2 0.0391 0.4824 0.0816  3 Pd 2.87-2.98, 4 Mg 2.95-3.20, 1 Sn 2.96
Mg3 0.2078 0.3312 0.4156  1 Sn 2.90, 6 Mg 3.00-3.23
Mg4 0.3771 0.8162 0.7522  3 Pd 2.86-3.00, 4 Mg 2.95-3.19, 1 Sn 2.96
Mg5 0.4165 0.4149 0.8336  3 Pd 2.76-2.79, 5 Mg 2.95-3.06
Mg6 0.5900 0.8921 0.1790  1 Pd 2.72, 2 Mg 2.96-2.98, 2 Sn 2.97
Mg7 0.7085 0.6122 0.4171  2 Pd 2.70-2.71, 2 Mg 3.00
Mg8 0.8254 0.1301 0.6531  1 Pd 2.72, 2 Sn 2.96, 2 Mg 2.96-2.98
Sn1 0.2083 0.9051 0.4170  9 Mg 2.90-3.06
Pd1 0.5473 0.2417 0.0962  8 Mg 2.70-3.00
Pd2 0.8701 0.5635 0.7395  8 Mg 2.71-2.98


This record from the Alexandria database describes a geometry-optimized Ca2AcTm structure. The functional is PBE-GGA.

## Properties
DOS(E_F) (states/eV per atom): 1.31
ΔE_f (meV/atom): 141.4
Total magnetic moment (μB per formula unit): 0.0
Raw total energy (eV/f.u.): -12.02

abc: 6.0249 6.0249 6.0249
angles: 60.00 60.00 60.00
Last column: nearest neighbours and their distance in Å.
Fractional coordinates of all 4 atoms:
Ca1 0.2500 0.2500 0.2500  4 Ac 3.69, 4 Tm 3.69
Ca2 0.7500 0.7500 0.7500  4 Ac 3.69, 4 Tm 3.69
Ac1 0.0000 0.0000 0.0000  8 Ca 3.69
Tm1 0.5000 0.5000 0.5000  8 Ca 3.69


This record from the Alexandria database describes a geometry-optimized NaLi2NCl structure. The functional is PBE-GGA.

## Properties
DOS(E_F) (states/eV per atom): 0.00
Energy relative to the elements, uncorrected (eV per formula unit): -2.320
Total magnetic moment (μB per formula unit): 1.0
Raw total energy (eV/f.u.): -17.64

abc: 3.8827 3.8827 8.2256
angles: 90.00 90.00 90.00
Last column: nearest neighbours and their distance in Å.
Fractional coordinates of all 5 atoms:
Na1 0.0000 0.0000 0.0000  4 Cl 2.75
Li1 0.0000 0.5000 0.5000  2 N 1.94
Li2 0.5000 0.0000 0.5000  2 N 1.94
N1 0.5000 0.5000 0.5000  4 Li 1.94
Cl1 0.5000 0.5000 0.0000  4 Na 2.75


This record from the Alexandria database describes a geometry-optimized AcMgCdAu2 structure. The functional is PBE-GGA.

## Properties
DOS(E_F) (states/eV per atom): 0.73
ΔE_f (meV/atom): -625.5
Total magnetic moment (μB per formula unit): 0.0
Raw total energy (eV/f.u.): -16.30

abc: 7.2906 7.2906 7.2906
angles: 145.53 145.53 49.55
Last column: nearest neighbours and their distance in Å.
Fractional coordinates of all 5 atoms:
Ac1 0.0000 0.0000 0.0000  8 Au 3.37
Mg1 0.7500 0.2500 0.5000  4 Au 2.87, 4 Cd 3.05
Cd1 0.2500 0.7500 0.5000  4 Au 2.87, 4 Mg 3.05
Au1 0.3922 0.3922 0.0000  1 Au 2.85, 2 Cd 2.87, 2 Mg 2.87
Au2 0.6078 0.6078 0.0000  1 Au 2.85, 2 Cd 2.87, 2 Mg 2.87


This record from the Alexandria database describes a geometry-optimized NbMoCl2 structure. The functional is PBE-GGA.

## Properties
DOS(E_F) (states/eV per atom): 1.12
Energy relative to the elements, uncorrected (eV per formula unit): 0.134
Total magnetic moment (μB per formula unit): 0.0
Raw total energy (eV/f.u.): -24.46

abc: 8.7839 8.7839 8.7839
angles: 19.92 19.92 19.92
Last column: nearest neighbours and their distance in Å.
Fractional coordinates of all 4 atoms:
Nb1 0.0000 0.0000 0.0000  6 Cl 2.56
Mo1 0.5000 0.5000 0.5000  2 Cl 2.44
Cl1 0.4056 0.4056 0.4056  1 Mo 2.44, 3 Nb 2.56
Cl2 0.5944 0.5944 0.5944  1 Mo 2.44, 3 Nb 2.56


This record from the Alexandria database describes a geometry-optimized U3Au structure. The functional is PBE-GGA.

## Properties
DOS(E_F) (states/eV per atom): 3.01
ΔE_f (meV/atom): 55.8
Total magnetic moment (μB per formula unit): 3.4
Raw total energy (eV/f.u.): -36.92

abc: 5.2536 5.2536 3.0639
angles: 90.00 90.00 90.00
Last column: nearest neighbours and their distance in Å.
Fractional coordinates of all 4 atoms:
U1 0.0000 0.0000 0.0000  10 U 3.04-3.06
U2 0.0000 0.5000 0.5000  6 U 3.04-3.06, 4 Au 3.04
U3 0.5000 0.0000 0.5000  6 U 3.04-3.06, 4 Au 3.04
Au1 0.5000 0.5000 0.0000  8 U 3.04, 2 Au 3.06


This record from the Alexandria database describes a geometry-optimized Ba4LiIn3 structure. The functional is PBE-GGA.

## Properties
DOS(E_F) (states/eV per atom): 1.01
ΔE_f (meV/atom): -305.6
Total magnetic moment (μB per formula unit): 0.0
Raw total energy (eV/f.u.): -20.26

abc: 10.4952 10.4952 10.4952
angles: 33.63 33.63 33.63
Last column: nearest neighbours and their distance in Å.
Fractional coordinates of all 8 atoms:
Ba1 0.1227 0.1227 0.1227  5 In 3.64-3.73, 3 Li 3.74
Ba2 0.3733 0.3733 0.3733  7 In 3.70-3.75, 1 Li 3.76
Ba3 0.6267 0.6267 0.6267  7 In 3.70-3.75, 1 Li 3.76
Ba4 0.8773 0.8773 0.8773  5 In 3.64-3.73, 3 Li 3.74
Li1 0.5000 0.5000 0.5000  8 Ba 3.74-3.76
In1 0.0000 0.0000 0.0000  8 Ba 3.64-3.70
In2 0.2485 0.2485 0.2485  8 Ba 3.68-3.75
In3 0.7515 0.7515 0.7515  8 Ba 3.68-3.75


This record from the Alexandria database describes a geometry-optimized Nd5HoN6 structure. The functional is PBE-GGA.

## Properties
DOS(E_F) (states/eV per atom): 0.05
Energy relative to the elements, uncorrected (eV per formula unit): -16.886
Total magnetic moment (μB per formula unit): 0.0
Raw total energy (eV/f.u.): -95.25

abc: 6.2718 6.2718 6.2691
angles: 99.59 99.59 120.00
Last column: nearest neighbours and their distance in Å.
Fractional coordinates of all 12 atoms:
Nd1 0.0000 0.0000 0.0000  6 N 2.56-2.61
Nd2 0.1669 0.8331 0.5000  6 N 2.56-2.57
Nd3 0.3346 0.6654 0.0000  6 N 2.54-2.63
Nd4 0.6654 0.3346 0.0000  6 N 2.54-2.63
Nd5 0.8331 0.1669 0.5000  6 N 2.56-2.57
Ho1 0.5000 0.5000 0.5000  6 N 2.50-2.51
N1 0.0929 0.4182 0.2547  1 Ho 2.50, 5 Nd 2.56-2.63
N2 0.2567 0.2567 0.7467  1 Ho 2.51, 5 Nd 2.54-2.61
N3 0.4182 0.0929 0.2547  1 Ho 2.50, 5 Nd 2.56-2.63
N4 0.5818 0.9071 0.7453  1 Ho 2.50, 5 Nd 2.56-2.63
N5 0.7433 0.7433 0.2533  1 Ho 2.51, 5 Nd 2.54-2.61
N6 0.9071 0.5818 0.7453  1 Ho 2.50, 5 Nd 2.56-2.63